Ni2AsIr | PBE-GGA | optimized geometry

As for the total energy: -25.0 eV per cell. As for the energy relative to the elements: 0.12 eV per formula unit.

The space group is P4mm (No. 99) and the conventional cell measures 3.077, 3.077 and 5.439 Å, with angles of 90.00, 90.00 and 90.00 degrees. The asymmetric unit holds Ni at (0.000, 0.000, 0.000), Ni at (0.500, 0.500, 0.221), As at (0.000, 0.000, 0.450) and Ir at (0.500, 0.500, 0.732).

---

La3TbSm2 | PBE-GGA | optimized geometry

As for the total energy: -54.9 eV per cell. For the energy above the lowest structure with this stoichiometry, the calculation gives 0.000 eV per atom. As for the energy relative to the elements: 1.40 eV per formula unit.

The space group is Pnnm (No. 58) and the conventional cell measures 6.792, 18.235 and 3.481 Å, with angles of 90.00, 90.00 and 90.00 degrees. The asymmetric unit holds La at (0.000, 0.000, 0.000), La at (0.230, 0.316, 0.000), Tb at (0.000, 0.500, 0.000) and Sm at (0.228, 0.147, 0.500).

---

DyEr6Sc8 | PBE-GGA | optimized geometry

As for the total energy: -246.2 eV per cell. For the energy above the lowest structure with this stoichiometry, the calculation gives 0.000 eV per atom. As for the energy relative to the elements: 0.56 eV per formula unit.

The space group is R-3 (No. 148, hexagonal axes) and the conventional cell measures 5.8893, 5.8893 and 40.8105 Å, with angles of 90.00, 90.00 and 120.00 degrees. The asymmetric unit holds Dy at (0.0000, 0.0000, 0.0000), Er at (0.0000, 0.3348, 0.9311), Sc at (0.0000, 0.0000, 0.3333) and Sc at (0.0000, 0.3331, 0.1358).

---

TlAsPbAu2 | PBE-GGA | optimized geometry

As for the total energy: -14.6 eV per cell. As for the energy relative to the elements: 2.64 eV per formula unit.

The space group is P4/mmm (No. 123) and the conventional cell measures 5.419, 5.419 and 5.514 Å, with angles of 90.00, 90.00 and 90.00 degrees. The asymmetric unit holds Tl at (0.000, 0.000, 0.000), As at (0.500, 0.500, 0.000), Pb at (0.500, 0.500, 0.500) and Au at (0.000, 0.500, 0.500).

---

RbPmReN4 | PBE-GGA | optimized geometry

Its formation energy from raw total energies is -275 kJ/mol of formula units. As for the total energy: -108.6 eV per cell.

The space group is P2_1/m (No. 11) and the conventional cell measures 6.228, 6.060 and 8.004 Å, with angles of 90.00, 103.88 and 90.00 degrees. The asymmetric unit holds Rb at (0.205, 0.250, 0.422), Pm at (0.284, 0.250, 0.941), Re at (0.243, 0.750, 0.150), N at (0.055, 0.750, 0.938), N at (0.058, 0.750, 0.297) and N at (0.432, 0.514, 0.166).

---

ThTlCd4 | PBE-GGA | optimized geometry

As for the total energy: -56.2 eV per cell. For the energy above the lowest structure with this stoichiometry, the calculation gives 0.000 eV per atom. As for the energy relative to the elements: -0.60 eV per formula unit.

The space group is Cmcm (No. 63) and the conventional cell measures 6.748, 17.890 and 5.102 Å, with angles of 90.00, 90.00 and 90.00 degrees. The asymmetric unit holds Th at (0.000, 0.120, 0.250), Tl at (0.000, 0.379, 0.750), Cd at (0.243, 0.043, 0.750) and Cd at (0.246, 0.210, 0.750).

---

Ta2TiGa | PBE-GGA | optimized geometry

As for the total energy: -70.2 eV per cell. For the energy above the lowest structure with this stoichiometry, the calculation gives 0.044 eV per atom. As for the energy relative to the elements: -0.49 eV per formula unit.

The space group is Pmmn (No. 59, origin choice 2) and the conventional cell measures 4.666, 5.562 and 5.289 Å, with angles of 90.00, 90.00 and 90.00 degrees. The asymmetric unit holds Ta at (0.250, 0.005, 0.149), Ti at (0.250, 0.750, 0.627) and Ga at (0.250, 0.250, 0.657).

---

KMnCuAs2 | PBE-GGA | optimized geometry

As for the total energy: -50.4 eV per cell. For the energy above the lowest structure with this stoichiometry, the calculation gives 0.000 eV per atom. As for the energy relative to the elements: -1.53 eV per formula unit.

The space group is I-4m2 (No. 119) and the conventional cell measures 4.100, 4.100 and 13.170 Å, with angles of 90.00, 90.00 and 90.00 degrees. The asymmetric unit holds K at (0.000, 0.000, 0.000), Mn at (0.000, 0.500, 0.250), Cu at (0.000, 0.500, 0.750) and As at (0.000, 0.000, 0.351).

---

Cr2GaFeC | PBE-GGA | optimized geometry

As for the total energy: -40.1 eV per cell. As for the energy relative to the elements: -0.11 eV per formula unit.

The space group is P4/mmm (No. 123) and the conventional cell measures 3.919, 3.919 and 3.745 Å, with angles of 90.00, 90.00 and 90.00 degrees. The asymmetric unit holds Cr at (0.000, 0.500, 0.000), Ga at (0.000, 0.000, 0.500), Fe at (0.500, 0.500, 0.500) and C at (0.500, 0.500, 0.000).

---

RbNaSiH6 | PBE-GGA | optimized geometry

As for the total energy: -28.9 eV per cell.

The space group is P312 (No. 149) and the conventional cell measures 5.2624, 5.2624 and 5.4469 Å, with angles of 90.00, 90.00 and 120.00 degrees. The asymmetric unit holds Rb at (0.0000, 0.0000, 0.0000), Na at (0.3333, 0.6667, 0.5000), Si at (0.6667, 0.3333, 0.5000) and H at (0.4214, 0.0823, 0.6726).

---

NaCrTe2 | PBE-GGA | optimized geometry

Its formation energy from raw total energies is -190 kJ/mol of formula units. As for the total energy: -57.6 eV per cell.

The space group is R3m (No. 160, hexagonal axes) and the conventional cell measures 4.0773, 4.0773 and 22.4549 Å, with angles of 90.00, 90.00 and 120.00 degrees. The asymmetric unit holds Na at (0.0000, 0.0000, 0.0000), Cr at (0.0000, 0.0000, 0.1661), Te at (0.0000, 0.0000, 0.5646) and Te at (0.0000, 0.0000, 0.7676).

---

SmThTeOs | PBE-GGA | optimized geometry

Its formation energy from raw total energies is -268 kJ/mol of formula units. As for the total energy: -87.9 eV per cell.

The space group is R3m (No. 160, hexagonal axes) and the conventional cell measures 4.2158, 4.2158 and 22.4428 Å, with angles of 90.00, 90.00 and 120.00 degrees. The asymmetric unit holds Sm at (0.0000, 0.0000, 0.0000), Th at (0.0000, 0.0000, 0.8015), Te at (0.0000, 0.0000, 0.2369) and Os at (0.0000, 0.0000, 0.4052).